GeSeIN2: relaxed, GGA-PBE. Values from VASP.

Quantum ESPRESSO input file:
```
&SYSTEM
  ibrav = 0, nat = 5, ntyp = 4
/
ATOMIC_SPECIES
I 126.90 I.upf
Ge 72.64 Ge.upf
Se 78.96 Se.upf
N 14.01 N.upf
CELL_PARAMETERS angstrom
4.005 0.000 0.000
0.000 7.010 0.000
0.000 0.000 4.005
ATOMIC_POSITIONS angstrom
I 0.000 3.505 0.000
Ge 2.003 3.505 2.003
Se 0.000 0.000 0.000
N 0.000 0.000 2.003
N 2.003 0.000 0.000
```

The value obtained for the uncorrected formation energy is 1645 meV/atom. The energy above the most stable polymorph in this dataset is 338.4 meV/atom. For the mass density, the calculation gives 4.53 g/cm³. The total magnetization comes out at 1.30 μB/f.u. As for the density of states at the Fermi level: 3.07 states/eV/cell. Its calculated total energy is -3.62 eV per atom.

GeSeI2N: relaxed, GGA-PBE. Values from VASP.

Quantum ESPRESSO input file:
```
&SYSTEM
  ibrav = 0, nat = 5, ntyp = 4
/
ATOMIC_SPECIES
I 126.90 I.upf
Ge 72.64 Ge.upf
Se 78.96 Se.upf
N 14.01 N.upf
CELL_PARAMETERS angstrom
-3.011 0.845 5.151
-5.124 -1.615 -2.730
0.574 -3.303 0.877
ATOMIC_POSITIONS angstrom
I -2.562 -0.808 -1.365
I -1.505 0.422 2.576
Ge 0.000 0.000 0.000
Se -3.780 -2.037 1.649
N 0.287 -1.651 0.438
```

The value obtained for the uncorrected formation energy is 799 meV/atom. The energy above the most stable polymorph in this dataset is 0.0 meV/atom. For the mass density, the calculation gives 5.54 g/cm³. The total magnetization comes out at 0.05 μB/f.u. As for the density of states at the Fermi level: 4.91 states/eV/cell. Its calculated total energy is -3.11 eV per atom.

SiGeI2N: relaxed, GGA-PBE. Values from VASP.

Quantum ESPRESSO input file:
```
&SYSTEM
  ibrav = 0, nat = 5, ntyp = 4
/
ATOMIC_SPECIES
I 126.90 I.upf
Ge 72.64 Ge.upf
Si 28.09 Si.upf
N 14.01 N.upf
CELL_PARAMETERS angstrom
-2.663 -3.204 -4.079
5.179 -1.397 -2.284
0.161 -2.716 2.028
ATOMIC_POSITIONS angstrom
I 2.590 -0.699 -1.142
I -1.331 -1.602 -2.040
Ge 1.339 -3.659 -2.167
Si 0.000 0.000 0.000
N 0.081 -1.358 1.014
```

The value obtained for the uncorrected formation energy is 405 meV/atom. The energy above the most stable polymorph in this dataset is 0.0 meV/atom. For the mass density, the calculation gives 5.30 g/cm³. The total magnetization comes out at 0.00 μB/f.u. As for the density of states at the Fermi level: 3.10 states/eV/cell. Its calculated total energy is -3.89 eV per atom.

SiGeI2N: relaxed, GGA-PBE. Values from VASP.

Quantum ESPRESSO input file:
```
&SYSTEM
  ibrav = 0, nat = 5, ntyp = 4
/
ATOMIC_SPECIES
I 126.90 I.upf
Ge 72.64 Ge.upf
Si 28.09 Si.upf
N 14.01 N.upf
CELL_PARAMETERS angstrom
-3.755 -1.667 4.207
3.894 -3.975 1.900
1.407 2.442 2.223
ATOMIC_POSITIONS angstrom
I 1.947 -1.988 0.950
I -1.877 -0.833 2.104
Ge 0.000 0.000 0.000
Si 0.773 -1.600 4.166
N 0.704 1.221 1.112
```

The value obtained for the uncorrected formation energy is 864 meV/atom. The energy above the most stable polymorph in this dataset is 459.0 meV/atom. For the mass density, the calculation gives 4.93 g/cm³. The total magnetization comes out at 0.00 μB/f.u. As for the density of states at the Fermi level: 2.81 states/eV/cell. Its calculated total energy is -3.43 eV per atom.

SnGeIN2: relaxed, GGA-PBE. Values from VASP.

Quantum ESPRESSO input file:
```
&SYSTEM
  ibrav = 0, nat = 5, ntyp = 4
/
ATOMIC_SPECIES
I 126.90 I.upf
Ge 72.64 Ge.upf
Sn 118.71 Sn.upf
N 14.01 N.upf
CELL_PARAMETERS angstrom
-3.355 0.624 2.436
1.741 -2.354 3.001
2.686 5.053 2.406
ATOMIC_POSITIONS angstrom
I 1.343 2.526 1.203
Ge 0.536 1.661 3.921
Sn 0.000 0.000 0.000
N 0.871 -1.177 1.500
N -1.678 0.312 1.218
```

The value obtained for the uncorrected formation energy is 1363 meV/atom. The energy above the most stable polymorph in this dataset is 53.0 meV/atom. For the mass density, the calculation gives 5.27 g/cm³. The total magnetization comes out at 0.93 μB/f.u. As for the density of states at the Fermi level: 2.76 states/eV/cell. Its calculated total energy is -4.00 eV per atom.

SnGeIN2: relaxed, GGA-PBE. Values from VASP.

Quantum ESPRESSO input file:
```
&SYSTEM
  ibrav = 0, nat = 5, ntyp = 4
/
ATOMIC_SPECIES
I 126.90 I.upf
Ge 72.64 Ge.upf
Sn 118.71 Sn.upf
N 14.01 N.upf
CELL_PARAMETERS angstrom
4.142 0.000 0.000
0.000 4.142 0.000
0.000 0.000 5.683
ATOMIC_POSITIONS angstrom
I 0.000 0.000 2.841
Ge 0.000 0.000 0.000
Sn 2.071 2.071 2.841
N 0.000 2.071 0.000
N 2.071 0.000 0.000
```

The value obtained for the uncorrected formation energy is 1310 meV/atom. The energy above the most stable polymorph in this dataset is 0.0 meV/atom. For the mass density, the calculation gives 5.90 g/cm³. The total magnetization comes out at 0.75 μB/f.u. As for the density of states at the Fermi level: 1.26 states/eV/cell. Its calculated total energy is -4.05 eV per atom.